Below is LiMnRh2 at its PBEsol-relaxed geometry, with properties calculated at the SCAN level.

a b c (Å): 3.085 3.085 5.329
angles (deg): 90.00 90.00 90.00
Space group P4mm (No. 99)
Unique sites:
Li 0.000 0.000 0.000 x1
Mn 0.500 0.500 0.257 x1
Rh 0.000 0.000 0.485 x1
Rh 0.500 0.500 0.788 x1

Output
- uncorrected energy (eV/f.u.) = -88.50
- energy of formation (eV per atom) = -0.08